Here is a relaxed Y3GaB2Pt9 crystal from Alexandria. Energies are from GGA-PBE.

Calculated values
crystal system = trigonal
symmetry = No. 164
DOS at the Fermi energy = 2.6 states/eV/cell
total magnetic moment = 0.000 μB/atom
E = -6.882 eV per atom

Geometry as CIF:
```
data_Y3GaB2Pt9
_chemical_formula_sum 'Y3 Ga1 B2 Pt9'
_cell_length_a 5.738
_cell_length_b 5.738
_cell_length_c 9.209
_cell_angle_alpha 90.00
_cell_angle_beta 90.00
_cell_angle_gamma 120.00
_symmetry_space_group_name_H-M 'P 1'
_symmetry_Int_Tables_number 1
_symmetry_space_group_name_Hall 'P 1'
loop_
_atom_site_label
_atom_site_fract_x
_atom_site_fract_y
_atom_site_fract_z
_atom_site_occupancy
Y1 0.333 0.667 0.606 1
Pt1 0.500 0.000 0.000 1
Pt2 0.835 0.165 0.712 1
B1 0.333 0.667 0.149 1
B2 0.667 0.333 0.851 1
Y2 0.667 0.333 0.394 1
Pt3 0.165 0.835 0.288 1
Pt4 0.500 0.500 0.000 1
Y3 0.000 0.000 0.000 1
Pt5 0.835 0.670 0.712 1
Pt6 0.670 0.835 0.288 1
Pt7 0.330 0.165 0.712 1
Ga1 0.000 0.000 0.500 1
Pt8 0.000 0.500 0.000 1
Pt9 0.165 0.330 0.288 1
```

***

Here is a relaxed DyHoScMn crystal from Alexandria. Energies are from GGA-PBE.

Calculated values
crystal system = cubic
symmetry = No. 216
DOS at the Fermi energy = 6.0 states/eV/cell
total magnetic moment = 0.658 μB/atom
E = -5.945 eV per atom

Geometry as CIF:
```
data_DyHoScMn
_chemical_formula_sum 'Dy1 Ho1 Sc1 Mn1'
_cell_length_a 5.185
_cell_length_b 5.185
_cell_length_c 5.185
_cell_angle_alpha 60.00
_cell_angle_beta 60.00
_cell_angle_gamma 60.00
_symmetry_space_group_name_H-M 'P 1'
_symmetry_Int_Tables_number 1
_symmetry_space_group_name_Hall 'P 1'
loop_
_atom_site_label
_atom_site_fract_x
_atom_site_fract_y
_atom_site_fract_z
_atom_site_occupancy
Sc1 0.500 0.500 0.500 1
Mn1 0.000 0.000 0.000 1
Ho1 0.250 0.250 0.250 1
Dy1 0.750 0.750 0.750 1
```

***

Which of these has the lowest E? Y3GaB2Pt9

***

What is the DOS at the Fermi energy in the first record? 2.6 states/eV/cell

***

Repeat the second record exactly.
Here is a relaxed DyHoScMn crystal from Alexandria. Energies are from GGA-PBE.

Calculated values
crystal system = cubic
symmetry = No. 216
DOS at the Fermi energy = 6.0 states/eV/cell
total magnetic moment = 0.658 μB/atom
E = -5.945 eV per atom

Geometry as CIF:
```
data_DyHoScMn
_chemical_formula_sum 'Dy1 Ho1 Sc1 Mn1'
_cell_length_a 5.185
_cell_length_b 5.185
_cell_length_c 5.185
_cell_angle_alpha 60.00
_cell_angle_beta 60.00
_cell_angle_gamma 60.00
_symmetry_space_group_name_H-M 'P 1'
_symmetry_Int_Tables_number 1
_symmetry_space_group_name_Hall 'P 1'
loop_
_atom_site_label
_atom_site_fract_x
_atom_site_fract_y
_atom_site_fract_z
_atom_site_occupancy
Sc1 0.500 0.500 0.500 1
Mn1 0.000 0.000 0.000 1
Ho1 0.250 0.250 0.250 1
Dy1 0.750 0.750 0.750 1
```